The following is a PBE-GGA calculation of an optimized crystal structure of Ba3HPd, from Alexandria via LeMat-Bulk.

Summary:
energy above the most stable polymorph in this dataset: 0.0000 eV/atom
magnetization: 0.00 μB/cell

Cell: 7.676 4.641 11.211 Å, 90.00 91.10 90.00°
Positions (direct):
1 Ba 0.070 0.250 0.153
2 Ba 0.264 0.750 0.487
3 Ba 0.405 0.250 0.829
4 Ba 0.595 0.750 0.171
5 Ba 0.736 0.250 0.513
6 Ba 0.930 0.750 0.847
7 H 0.076 0.250 0.916
8 H 0.924 0.750 0.084
9 Pd 0.419 0.250 0.321
10 Pd 0.581 0.750 0.679

The following is a PBE-GGA calculation of an optimized crystal structure of NdSm10Ho4, from Alexandria via LeMat-Bulk.

Summary:
formation energy from the elements: 0.71 eV/atom
magnetization: 0.00 μB/cell

Cell: 9.515 9.515 9.515 Å, 99.55 99.55 131.92°
Positions (direct):
1 Nd 0.000 0.000 0.000
2 Sm 0.050 0.352 0.898
3 Sm 0.151 0.050 0.698
4 Sm 0.250 0.750 0.500
5 Sm 0.352 0.453 0.302
6 Sm 0.453 0.151 0.102
7 Sm 0.547 0.849 0.898
8 Sm 0.648 0.547 0.698
9 Sm 0.750 0.250 0.500
10 Sm 0.849 0.950 0.302
11 Sm 0.950 0.648 0.102
12 Ho 0.200 0.400 0.600
13 Ho 0.400 0.800 0.200
14 Ho 0.600 0.200 0.800
15 Ho 0.800 0.600 0.400

The following is a PBE-GGA calculation of an optimized crystal structure of Cs2LaMgI6, from Alexandria via LeMat-Bulk.

Summary:
magnetization: 0.56 μB/cell
raw formation energy: -1.29 eV/atom

Cell: 8.918 12.613 8.928 Å, 90.00 90.00 90.00°
Positions (direct):
1 Cs 0.250 0.002 0.243
2 Cs 0.250 0.498 0.243
3 Cs 0.750 0.502 0.757
4 Cs 0.750 0.998 0.757
5 La 0.250 0.250 0.746
6 La 0.750 0.750 0.254
7 Mg 0.250 0.750 0.753
8 Mg 0.750 0.250 0.247
9 I 0.001 0.250 0.492
10 I 0.004 0.750 0.004
11 I 0.250 0.502 0.756
12 I 0.250 0.998 0.756
13 I 0.496 0.750 0.004
14 I 0.499 0.250 0.492
15 I 0.501 0.750 0.508
16 I 0.504 0.250 0.996
17 I 0.750 0.002 0.244
18 I 0.750 0.498 0.244
19 I 0.996 0.250 0.996
20 I 0.999 0.750 0.508

The following is a PBE-GGA calculation of an optimized crystal structure of PmEuSbPb, from Alexandria via LeMat-Bulk.

Summary:
magnetization: 6.79 μB/cell
raw formation energy: -0.62 eV/atom

Cell: 5.566 5.566 5.566 Å, 60.00 60.00 60.00°
Positions (direct):
1 Pm 0.000 0.000 0.000
2 Eu 0.500 0.500 0.500
3 Sb 0.750 0.750 0.750
4 Pb 0.250 0.250 0.250

The following is a PBE-GGA calculation of an optimized crystal structure of Cr3GaSi, from Alexandria via LeMat-Bulk.

Summary:
energy above the most stable polymorph in this dataset: 0.0000 eV/atom
magnetization: 0.00 μB/cell
raw formation energy: 0.95 eV/atom

Cell: 4.245 4.245 4.245 Å, 90.00 90.00 90.00°
Positions (direct):
1 Cr 0.000 0.000 0.500
2 Cr 0.000 0.500 0.000
3 Cr 0.500 0.000 0.000
4 Ga 0.500 0.500 0.500
5 Si 0.000 0.000 0.000

The following is a PBE-GGA calculation of an optimized crystal structure of BaPuH2, from Alexandria via LeMat-Bulk.

Summary:
total energy: -23.39 eV for the cell shown
magnetization: 7.07 μB/cell

Cell: 6.671 6.671 6.671 Å, 32.76 32.76 32.76°
Positions (direct):
1 Ba 0.000 0.000 0.000
2 Pu 0.500 0.500 0.500
3 H 0.232 0.232 0.232
4 H 0.768 0.768 0.768

The following is a PBE-GGA calculation of an optimized crystal structure of Rb2HgBiF6, from Alexandria via LeMat-Bulk.

Summary:
energy above the most stable polymorph in this dataset: 0.0000 eV/atom
magnetization: 0.00 μB/cell
raw formation energy: -2.23 eV/atom

Cell: 6.745 9.565 7.062 Å, 90.00 90.00 90.00°
Positions (direct):
1 Rb 0.250 0.024 0.207
2 Rb 0.250 0.476 0.207
3 Rb 0.750 0.524 0.793
4 Rb 0.750 0.976 0.793
5 Hg 0.250 0.250 0.715
6 Hg 0.750 0.750 0.285
7 Bi 0.250 0.750 0.774
8 Bi 0.750 0.250 0.226
9 F 0.014 0.250 0.428
10 F 0.022 0.750 0.006
11 F 0.250 0.515 0.803
12 F 0.250 0.985 0.803
13 F 0.478 0.750 0.006
14 F 0.486 0.250 0.428
15 F 0.514 0.750 0.572
16 F 0.522 0.250 0.994
17 F 0.750 0.015 0.197
18 F 0.750 0.485 0.197
19 F 0.978 0.250 0.994
20 F 0.986 0.750 0.572

The following is a PBE-GGA calculation of an optimized crystal structure of HgPtRhF2, from Alexandria via LeMat-Bulk.

Summary:
magnetization: 0.56 μB/cell
raw formation energy: -0.25 eV/atom

Cell: 3.942 3.942 5.990 Å, 90.00 90.00 90.00°
Positions (direct):
1 Hg 0.000 0.000 0.000
2 Pt 0.500 0.500 0.000
3 Rh 0.000 0.000 0.500
4 F 0.000 0.500 0.500
5 F 0.500 0.000 0.500

The following is a PBE-GGA calculation of an optimized crystal structure of NaBi, from Alexandria via LeMat-Bulk.

Summary:
formation energy from the elements: -0.01 eV/atom
energy above the most stable polymorph in this dataset: 0.2977 eV/atom
magnetization: 0.00 μB/cell

Cell: 6.611 6.611 6.449 Å, 90.00 90.00 90.00°
Positions (direct):
1 Na 0.187 0.187 0.000
2 Na 0.313 0.687 0.500
3 Na 0.687 0.313 0.500
4 Na 0.813 0.813 0.000
5 Bi 0.158 0.158 0.500
6 Bi 0.342 0.658 0.000
7 Bi 0.658 0.342 0.000
8 Bi 0.842 0.842 0.500

The following is a PBE-GGA calculation of an optimized crystal structure of Rb2YNbI6, from Alexandria via LeMat-Bulk.

Summary:
magnetization: 2.00 μB/cell
raw formation energy: -0.90 eV/atom

Cell: 8.393 8.393 8.393 Å, 60.00 60.00 60.00°
Positions (direct):
1 Rb 0.250 0.250 0.250
2 Rb 0.750 0.750 0.750
3 Y 0.000 0.000 0.000
4 Nb 0.500 0.500 0.500
5 I 0.256 0.256 0.744
6 I 0.256 0.744 0.256
7 I 0.256 0.744 0.744
8 I 0.744 0.256 0.256
9 I 0.744 0.256 0.744
10 I 0.744 0.744 0.256

The following is a PBE-GGA calculation of an optimized crystal structure of PdBrCl2, from Alexandria via LeMat-Bulk.

Summary:
energy above the most stable polymorph in this dataset: 0.2259 eV/atom
magnetization: 0.00 μB/cell
raw formation energy: -0.06 eV/atom

Cell: 6.863 6.863 6.863 Å, 98.50 98.50 134.79°
Positions (direct):
1 Pd 0.000 0.000 0.000
2 Pd 0.750 0.250 0.500
3 Br 0.250 0.750 0.500
4 Br 0.500 0.500 0.000
5 Cl 0.375 0.040 0.165
6 Cl 0.790 0.625 0.665
7 Cl 0.875 0.210 0.835
8 Cl 0.960 0.125 0.335

The following is a PBE-GGA calculation of an optimized crystal structure of TbDy2Sc5, from Alexandria via LeMat-Bulk.

Summary:
formation energy from the elements: 0.02 eV/atom
energy above the most stable polymorph in this dataset: 0.0000 eV/atom
magnetization: 0.00 μB/cell

Cell: 7.994 6.858 6.351 Å, 74.38 55.71 49.91°
Positions (direct):
1 Tb 0.000 0.000 0.000
2 Dy 0.425 0.915 0.085
3 Dy 0.915 0.425 0.575
4 Sc 0.007 0.502 0.993
5 Sc 0.416 0.416 0.084
6 Sc 0.498 0.498 0.502
7 Sc 0.502 0.007 0.498
8 Sc 0.916 0.916 0.584

Ρ (g cm⁻³)
4.3, 6.5, 3.9, 8.5, 5.5, 8.2, 5.1, 9.6, 5.5, 4.4, 4.0, 5.4